# 1
NbCuSiAu after structural relaxation, computed with PBE-GGA.

Lattice parameters (Å, degrees): 4.475 4.475 4.475 60.00 60.00 60.00
Fractional positions:
Si 0.000 0.000 0.000
Cu 0.750 0.750 0.750
Nb 0.500 0.500 0.500
Au 0.250 0.250 0.250

Summary:
Total moment in μB/atom: 0.235
Uncorrected energy in eV for the cell shown: -21.2
Excess energy over the best structure of this formula in the dataset in meV/atom: 249

***

# 2
HAuS after structural relaxation, computed with PBE-GGA.

Lattice parameters (Å, degrees): 3.537 6.181 6.399 113.38 105.39 90.17
Fractional positions:
H 0.966 0.771 0.369
H 0.859 0.777 0.253
S 0.303 0.365 0.603
S 0.503 0.181 0.021
Au 0.903 0.273 0.812
Au 0.403 0.773 0.812

Summary:
Uncorrected energy in eV for the cell shown: -21.8
Excess energy over the best structure of this formula in the dataset in meV/atom: 97

***

# 3
Sm4InCo4 after structural relaxation, computed with PBE-GGA.

Lattice parameters (Å, degrees): 5.563 5.563 9.194 108.71 108.71 45.16
Fractional positions:
Co 0.959 0.959 0.160
Co 0.914 0.914 0.383
Co 0.086 0.086 0.617
Co 0.041 0.041 0.840
Sm 0.389 0.389 0.613
Sm 0.611 0.611 0.387
Sm 0.254 0.254 0.161
Sm 0.746 0.746 0.839
In 0.500 0.500 0.000

Summary:
Total moment in μB/atom: 0.157
Uncorrected energy in eV for the cell shown: -51.7

***

# 4
GdCdGa2 after structural relaxation, computed with PBE-GGA.

Lattice parameters (Å, degrees): 4.787 6.460 6.460 122.39 90.00 90.00
Fractional positions:
Cd 0.250 0.686 0.839
Cd 0.750 0.839 0.686
Ga 0.250 0.168 0.310
Ga 0.750 0.851 0.158
Ga 0.250 0.158 0.851
Ga 0.750 0.310 0.168
Gd 0.750 0.319 0.669
Gd 0.250 0.669 0.319

Summary:
Total moment in μB/atom: 0.000
Uncorrected energy in eV for the cell shown: -26.6

***

# 5
Na2CdSnSe2S2 after structural relaxation, computed with PBE-GGA.

Lattice parameters (Å, degrees): 7.013 7.013 6.635 117.85 117.85 95.87
Fractional positions:
Sn 0.267 0.733 0.000
Se 0.379 0.098 0.460
Se 0.902 0.621 0.540
Cd 0.507 0.493 0.500
S 0.185 0.404 0.028
S 0.596 0.815 0.972
Na 0.781 0.219 0.000
Na 0.996 0.004 0.500

Summary:
Uncorrected energy in eV for the cell shown: -28.9

***

# 6
Hf2NbSb after structural relaxation, computed with PBE-GGA.

Lattice parameters (Å, degrees): 4.863 4.863 4.863 60.00 60.00 60.00
Fractional positions:
Hf 0.750 0.750 0.750
Hf 0.000 0.000 0.000
Nb 0.250 0.250 0.250
Sb 0.500 0.500 0.500

Summary:
Total moment in μB/atom: 0.016
Uncorrected energy in eV for the cell shown: -34.1